# MnTl2SeO6

An optimized crystal structure of MnTl2SeO6 (PBE with a Hubbard U, Alexandria via LeMat-Bulk).

Summary:
- DFT total energy (eV/cell) = -53.43
- crystal system = trigonal
- mass density (g cm⁻³) = 6.311
- SG = P-3m1 (164)

a b c (Å): 6.2050 6.2050 5.0393
angles (deg): 90.00 90.00 120.00
Atoms (fractional coordinates):
Mn (0.0000, 0.0000, 0.0000)
Tl (0.3333, 0.6667, 0.2975)
Tl (0.6667, 0.3333, 0.7025)
Se (0.0000, 0.0000, 0.5000)
O (0.1326, 0.2652, 0.7315)
O (0.1326, 0.8674, 0.7315)
O (0.2652, 0.1326, 0.2685)
O (0.7348, 0.8674, 0.7315)
O (0.8674, 0.1326, 0.2685)
O (0.8674, 0.7348, 0.2685)